VASP calculation (PBE) on crystalline Li2Ga2Pb at its relaxed geometry.

As for the formation energy: -0.147 eV per atom. As for the offset from the most stable computed form: 0.033 eV per atom. The calculation puts the uncorrected energy at -14.32 eV/f.u.

The structure belongs to space group Cmmm (No. 65); the cell edges are 4.583, 7.135 and 6.350 Å and the angles 90.00°, 90.00° and 90.00°. Symmetry generates all atoms from Li at (0.000, 0.000, 0.233), Ga at (0.000, 0.329, 0.000) and Pb at (0.000, 0.500, 0.500).